Entry 1:
Ta2ZnAu: relaxed, GGA-PBE.

V	69	Å³/cell
raw total energy	-7.12	eV/atom
E_form	-22	kJ/mol of formula units
symmetry	No. 99

a = 2.871 Å, b = 2.871 Å, c = 8.313 Å
α = 90.00°, β = 90.00°, γ = 90.00°
Sites, in units of the cell vectors:
Ta1 0.000 0.000 0.000
Ta2 0.500 0.500 0.275
Zn1 0.000 0.000 0.517
Au1 0.500 0.500 0.747

***

Entry 2:
SrLiTlCd2: relaxed, GGA-PBE.

V	135	Å³/cell
raw total energy	-1.72	eV/atom
E_form	-78	kJ/mol of formula units
symmetry	No. 123

a = 5.116 Å, b = 5.116 Å, c = 5.166 Å
α = 90.00°, β = 90.00°, γ = 90.00°
Sites, in units of the cell vectors:
Sr1 0.000 0.000 0.000
Li1 0.500 0.500 0.500
Tl1 0.500 0.500 0.000
Cd1 0.000 0.500 0.500
Cd2 0.500 0.000 0.500

***

Entry 3:
EuInCuRh: relaxed, GGA-PBE.

V	316	Å³/cell
raw total energy	-6.34	eV/atom
E_form	-87	kJ/mol of formula units
symmetry	No. 216

a = 6.809 Å, b = 6.809 Å, c = 6.809 Å
α = 90.00°, β = 90.00°, γ = 90.00°
Sites, in units of the cell vectors:
Eu1 0.000 0.000 0.000
Eu2 0.000 0.500 0.500
Eu3 0.500 0.000 0.500
Eu4 0.500 0.500 0.000
In1 0.000 0.000 0.500
In2 0.000 0.500 0.000
In3 0.500 0.000 0.000
In4 0.500 0.500 0.500
Cu1 0.250 0.250 0.750
Cu2 0.250 0.750 0.250
Cu3 0.750 0.250 0.250
Cu4 0.750 0.750 0.750
Rh1 0.250 0.250 0.250
Rh2 0.250 0.750 0.750
Rh3 0.750 0.250 0.750
Rh4 0.750 0.750 0.250

***

Entry 4:
Ce7ThAl4: relaxed, GGA-PBE.

V	326	Å³/cell
raw total energy	-5.30	eV/atom
E_form	34	kJ/mol of formula units
symmetry	No. 12

a = 7.189 Å, b = 7.189 Å, c = 10.434 Å
α = 121.35°, β = 121.35°, γ = 47.31°
Sites, in units of the cell vectors:
Ce1 0.000 0.000 0.000
Ce2 0.210 0.210 0.643
Ce3 0.303 0.303 0.114
Ce4 0.445 0.445 0.642
Ce5 0.555 0.555 0.358
Ce6 0.697 0.697 0.886
Ce7 0.790 0.790 0.357
Th1 0.500 0.500 0.000
Al1 0.051 0.051 0.755
Al2 0.188 0.188 0.334
Al3 0.812 0.812 0.666
Al4 0.949 0.949 0.245

***

Entry 5:
Li2AcGeO: relaxed, GGA-PBE.

V	176	Å³/cell
raw total energy	-4.84	eV/atom
uncorrected formation energy	-1335.8	meV per atom
symmetry	No. 63

a = 6.424 Å, b = 6.424 Å, c = 7.794 Å
α = 90.00°, β = 90.00°, γ = 146.90°
Sites, in units of the cell vectors:
Li1 0.158 0.842 0.546
Li2 0.158 0.842 0.954
Li3 0.842 0.158 0.046
Li4 0.842 0.158 0.454
Ac1 0.465 0.535 0.750
Ac2 0.535 0.465 0.250
Ge1 0.264 0.736 0.250
Ge2 0.736 0.264 0.750
O1 0.000 0.000 0.000
O2 0.000 0.000 0.500

***

Entry 6:
PmCu2Ni3: relaxed, GGA-PBE.

V	185	Å³/cell
raw total energy	-4.98	eV/atom
E_form	38	kJ/mol of formula units
polymorph energy (0 for the lowest one)	331.4	meV/atom
symmetry	No. 139

a = 13.529 Å, b = 13.529 Å, c = 13.529 Å
α = 164.15°, β = 164.15°, γ = 22.48°
Sites, in units of the cell vectors:
Pm1 0.146 0.146 0.000
Pm2 0.854 0.854 0.000
Cu1 0.250 0.750 0.500
Cu2 0.400 0.400 0.000
Cu3 0.600 0.600 0.000
Cu4 0.750 0.250 0.500
Ni1 0.043 0.543 0.500
Ni2 0.309 0.309 0.000
Ni3 0.457 0.957 0.500
Ni4 0.543 0.043 0.500
Ni5 0.691 0.691 0.000
Ni6 0.957 0.457 0.500